No. 1
{"formula": "TaRhW2", "functional": "PBE", "state": "relaxed", "lattice_angstrom": [[1.656, -2.222, 0.000], [1.656, 2.222, 0.000], [0.000, 0.000, 8.758]], "species": ["Rh", "W", "W", "Ta"], "fractional_positions": [[0.000, 0.000, 0.504], [0.000, 0.000, 0.995], [0.500, 0.500, 0.743], [0.500, 0.500, 0.258]], "vol_a3_per_atom": 16.1, "space_group": "Cmm2", "density_g_cm3": 16.79, "formation_enthalpy_0k_ev_per_atom": -0.10}

***

No. 2
{"formula": "BeCr2Cd", "functional": "PBE", "state": "relaxed", "lattice_angstrom": [[-2.227, 3.972, -1.565], [-3.246, 1.614, -3.169], [-3.558, 0.301, 1.819]], "species": ["Cd", "Cr", "Cr", "Be"], "fractional_positions": [[0.750, 0.750, 0.750], [0.986, 0.986, 0.056], [0.514, 0.514, 0.444], [0.250, 0.250, 0.250]], "vol_a3_per_atom": 13.0, "space_group": "C2/m", "density_g_cm3": 7.18, "formation_enthalpy_0k_ev_per_atom": 0.45}

***

No. 3
{"formula": "Mg2PBr", "functional": "PBE", "state": "relaxed", "lattice_angstrom": [[7.040, 0.011, 0.135], [6.137, 3.450, 0.135], [0.119, 0.031, 3.845]], "species": ["P", "Br", "Mg", "Mg"], "fractional_positions": [[0.541, 0.541, 0.380], [0.792, 0.792, 0.908], [0.175, 0.175, 0.329], [0.993, 0.993, 0.883]], "total_energy_ev_per_cell": -13.1, "vol_a3_per_atom": 23.3, "space_group": "Cm", "density_g_cm3": 2.85}

***

What did the first record say?
{"formula": "TaRhW2", "functional": "PBE", "state": "relaxed", "lattice_angstrom": [[1.656, -2.222, 0.000], [1.656, 2.222, 0.000], [0.000, 0.000, 8.758]], "species": ["Rh", "W", "W", "Ta"], "fractional_positions": [[0.000, 0.000, 0.504], [0.000, 0.000, 0.995], [0.500, 0.500, 0.743], [0.500, 0.500, 0.258]], "vol_a3_per_atom": 16.1, "space_group": "Cmm2", "density_g_cm3": 16.79, "formation_enthalpy_0k_ev_per_atom": -0.10}